Below is an optimized crystal structure of SrSiBAu2, with properties calculated at the PBE level.

a = 4.5157 Å, b = 4.7331 Å, c = 4.5157 Å
α = 90.00°, β = 90.00°, γ = 90.00°
Atoms (fractional coordinates):
Si 0.0000 0.5000 0.0000
Au 0.0000 0.0000 0.5000
Au 0.5000 0.0000 0.0000
B 0.0000 0.0000 0.0000
Sr 0.5000 0.5000 0.5000

Results
**Crystal system**: tetragonal
**SG**: No. 123

Below is an optimized crystal structure of NaTaTl2, with properties calculated at the PBE level.

a = 4.7902 Å, b = 4.7902 Å, c = 10.2164 Å
α = 76.44°, β = 76.44°, γ = 90.00°
Atoms (fractional coordinates):
Tl 0.3750 0.3390 0.7500
Tl 0.6610 0.1250 0.2500
Tl 0.8750 0.9110 0.7500
Tl 0.0890 0.6250 0.2500
Ta 0.0000 0.0000 0.0000
Ta 0.7500 0.2500 0.5000
Na 0.5000 0.5000 0.0000
Na 0.2500 0.7500 0.5000

Results
**Crystal system**: tetragonal
**SG**: No. 122
**ΔH_f (0 K)**: 3.80 eV per formula unit

Below is an optimized crystal structure of NaPdPtF6, with properties calculated at the PBE level.

a = 5.6444 Å, b = 5.6444 Å, c = 9.3646 Å
α = 90.00°, β = 90.00°, γ = 120.00°
Atoms (fractional coordinates):
F 0.9605 0.6361 0.3705
F 0.3639 0.0394 0.1295
F 0.6755 0.0394 0.3705
F 0.6755 0.6361 0.1295
F 0.3245 0.3639 0.8705
F 0.6361 0.9606 0.8705
F 0.3639 0.3245 0.3705
F 0.3245 0.9606 0.6295
F 0.0395 0.3639 0.6295
F 0.6361 0.6755 0.6295
F 0.0395 0.6755 0.8705
F 0.9605 0.3245 0.1295
Pt 0.6667 0.3333 0.2500
Pt 0.3333 0.6667 0.7500
Pd 0.0000 0.0000 0.5000
Pd 0.0000 0.0000 0.0000
Na 0.3333 0.6667 0.2500
Na 0.6667 0.3333 0.7500

Results
**Crystal system**: trigonal
**SG**: No. 163

Below is an optimized crystal structure of Ta2GaAgBr, with properties calculated at the PBE level.

a = 4.9567 Å, b = 4.7872 Å, c = 4.9567 Å
α = 90.00°, β = 90.00°, γ = 90.00°
Atoms (fractional coordinates):
Br 0.5000 0.5000 0.5000
Ta 0.5000 0.0000 0.0000
Ta 0.0000 0.0000 0.5000
Ga 0.0000 0.0000 0.0000
Ag 0.0000 0.5000 0.0000

Results
**Crystal system**: tetragonal
**SG**: No. 123

Below is an optimized crystal structure of Ca4TaFe, with properties calculated at the PBE level.

a = 6.3324 Å, b = 6.3324 Å, c = 6.3324 Å
α = 60.00°, β = 60.00°, γ = 60.00°
Atoms (fractional coordinates):
Ta 0.0000 0.0000 0.0000
Fe 0.7500 0.7500 0.7500
Ca 0.3749 0.8752 0.3749
Ca 0.3749 0.3749 0.3749
Ca 0.3749 0.3749 0.8752
Ca 0.8752 0.3749 0.3749

Results
**Crystal system**: cubic
**SG**: No. 216
**ΔH_f (0 K)**: 7.87 eV per formula unit

Below is an optimized crystal structure of Na2Li2CoH6, with properties calculated at the PBE level.

a = 4.7845 Å, b = 4.7845 Å, c = 5.4339 Å
α = 98.49°, β = 98.49°, γ = 117.54°
Atoms (fractional coordinates):
Li 0.3363 0.6637 0.5000
Li 0.6637 0.3363 0.5000
H 0.6673 0.9403 0.3184
H 0.9403 0.6673 0.3184
H 0.7839 0.7839 0.6721
H 0.2161 0.2161 0.3279
H 0.3327 0.0597 0.6816
H 0.0597 0.3327 0.6816
Co 0.0000 0.0000 0.5000
Na 0.1686 0.8314 0.0000
Na 0.8314 0.1686 0.0000

Results
**Crystal system**: monoclinic
**SG**: No. 12

Below is an optimized crystal structure of PmNpAu2, with properties calculated at the PBE level.

a = 3.6139 Å, b = 3.6139 Å, c = 7.4660 Å
α = 90.00°, β = 90.00°, γ = 90.00°
Atoms (fractional coordinates):
Au 0.0000 0.0000 0.2505
Au 0.0000 0.0000 0.7495
Pm 0.5000 0.5000 0.0000
Np 0.5000 0.5000 0.5000

Results
**Crystal system**: tetragonal
**SG**: No. 123
**ΔH_f (0 K)**: -1.45 eV per formula unit

Below is an optimized crystal structure of AcPaH2, with properties calculated at the PBE level.

a = 3.7986 Å, b = 3.7986 Å, c = 6.5940 Å
α = 73.26°, β = 73.26°, γ = 60.00°
Atoms (fractional coordinates):
Ac 0.0000 0.0000 0.0000
H 0.8643 0.8643 0.4072
H 0.1357 0.1357 0.5928
Pa 0.5000 0.5000 0.5000

Results
**Crystal system**: trigonal
**SG**: No. 166

Below is an optimized crystal structure of Sr2CdI, with properties calculated at the PBE level.

a = 8.8796 Å, b = 8.8796 Å, c = 7.6493 Å
α = 54.52°, β = 54.52°, γ = 90.00°
Atoms (fractional coordinates):
Sr 0.6192 0.1250 0.2500
Sr 0.3750 0.3808 0.7500
Sr 0.1308 0.6250 0.2500
Sr 0.8750 0.8692 0.7500
Cd 0.5000 0.5000 0.0000
Cd 0.2500 0.7500 0.5000
I 0.0000 0.0000 0.0000
I 0.7500 0.2500 0.5000

Results
**Crystal system**: tetragonal
**SG**: No. 122

no.,spin magnetization (μB per cell),DFT total energy (eV/atom)
1,0.00,-4.025
2,0.00,-3.527
3,2.00,-4.172
4,2.82,-4.869
5,7.33,-3.408
6,0.10,-3.269
7,4.53,-6.425
8,0.87,-5.218
9,0.00,-1.993